1.
A relaxed NaTh4Tl5 crystal, computed with PBE.

The structure in POSCAR format:
```
NaTh4Tl5
1.0
-1.069 2.714 -2.040
-3.395 -0.879 0.611
-0.243 13.684 18.336
Tl Th Na
5 4 1
Direct
0.500 0.500 0.500 Tl
0.500 0.500 0.904 Tl
0.500 0.500 0.096 Tl
0.500 0.500 0.702 Tl
0.500 0.500 0.298 Tl
0.000 0.000 0.197 Th
0.000 0.000 0.601 Th
0.000 0.000 0.803 Th
0.000 0.000 0.399 Th
0.000 0.000 0.000 Na
```

Properties
Energy: -44.079 eV per cell
Formation energy from the elements: -0.125 eV/atom

2.
A relaxed Na2ThTl3 crystal, computed with PBE.

The structure in POSCAR format:
```
Na2ThTl3
1.0
-2.978 -1.224 1.646
2.030 -1.340 2.675
-1.067 11.296 6.470
Na Tl Th
2 3 1
Direct
0.500 0.500 0.832 Na
0.500 0.500 0.168 Na
0.000 0.000 0.000 Tl
0.000 0.000 0.327 Tl
0.000 0.000 0.673 Tl
0.500 0.500 0.500 Th
```

Properties
Energy: -17.805 eV per cell
Formation energy from the elements: -0.108 eV/atom

3.
A relaxed NaThTl crystal, computed with PBE.

The structure in POSCAR format:
```
NaThTl
1.0
-0.415 -4.978 2.114
0.466 -3.709 5.234
-9.950 5.334 -3.245
Na Th Tl
2 2 2
Direct
0.360 0.171 0.316 Na
0.353 0.479 0.117 Na
0.856 0.026 0.667 Th
0.857 0.625 0.766 Th
0.361 0.805 0.451 Tl
0.351 0.846 0.982 Tl
```

Properties
Energy: -22.078 eV per cell
Formation energy from the elements: 0.022 eV/atom

4.
A relaxed NaTh2Tl9 crystal, computed with PBE.

The structure in POSCAR format:
```
NaTh2Tl9
1.0
-4.746 -0.432 -0.717
0.517 -4.759 -0.555
-2.003 -1.898 14.409
Tl Na Th
9 1 2
Direct
0.000 0.500 0.834 Tl
0.500 0.000 0.500 Tl
0.500 0.500 0.331 Tl
0.500 0.500 0.669 Tl
0.500 0.000 0.166 Tl
0.500 0.500 0.000 Tl
0.000 0.500 0.166 Tl
0.000 0.500 0.500 Tl
0.500 0.000 0.834 Tl
0.000 0.000 0.000 Na
0.000 0.000 0.341 Th
0.000 0.000 0.659 Th
```

Properties
Energy: -38.765 eV per cell
Formation energy from the elements: -0.109 eV/atom

5.
A relaxed Na2ThTl crystal, computed with PBE.

The structure in POSCAR format:
```
Na2ThTl
1.0
3.395 0.000 0.000
1.697 2.940 0.000
1.697 0.980 12.755
Tl Na Th
1 2 1
Direct
0.500 0.500 0.500 Tl
0.908 0.908 0.276 Na
0.092 0.092 0.724 Na
0.000 0.000 0.000 Th
```

Properties
Energy: -11.681 eV per cell
Formation energy from the elements: 0.186 eV/atom

6.
A relaxed NaThTlZn crystal, computed with PBE.

The structure in POSCAR format:
```
NaThTlZn
1.0
5.272 0.000 0.000
2.636 4.566 0.000
2.636 1.522 4.305
Zn Na Tl Th
1 1 1 1
Direct
0.750 0.750 0.750 Zn
0.000 0.000 0.000 Na
0.250 0.250 0.250 Tl
0.500 0.500 0.500 Th
```

Properties
Energy: -12.418 eV per cell
Formation energy from the elements: -0.010 eV/atom

7.
A relaxed NaTm2Th crystal, computed with PBE.

The structure in POSCAR format:
```
NaTm2Th
1.0
3.526 0.000 0.000
1.763 3.053 0.000
1.763 1.018 12.426
Tm Na Th
2 1 1
Direct
0.907 0.907 0.280 Tm
0.093 0.093 0.720 Tm
0.000 0.000 0.000 Na
0.500 0.500 0.500 Th
```

Properties
Energy: -17.038 eV per cell
Polymorph energy (0 for the lowest one): 0.040 eV/atom
Formation energy from the elements: 0.161 eV/atom

8.
A relaxed NaTm2Th crystal, computed with PBE.

The structure in POSCAR format:
```
NaTm2Th
1.0
-0.599 2.984 -1.819
-0.615 -1.907 -2.925
-10.031 -0.522 2.448
Na Tm Th
1 2 1
Direct
0.500 0.500 0.500 Na
0.000 0.000 0.225 Tm
0.000 0.000 0.775 Tm
0.500 0.500 0.000 Th
```

Properties
Energy: -17.199 eV per cell
Polymorph energy (0 for the lowest one): 0.000 eV/atom
Formation energy from the elements: 0.121 eV/atom

9.
A relaxed NaTmTh crystal, computed with PBE.

The structure in POSCAR format:
```
NaTmTh
1.0
3.504 0.000 0.000
-1.752 3.035 0.000
0.000 0.000 9.243
Th Na Tm
1 1 1
Direct
0.667 0.333 0.353 Th
0.000 0.000 0.995 Na
0.333 0.667 0.652 Tm
```

Properties
Energy: -12.695 eV per cell
Polymorph energy (0 for the lowest one): 0.000 eV/atom
Formation energy from the elements: 0.172 eV/atom

10.
A relaxed NaTmTh2 crystal, computed with PBE.

The structure in POSCAR format:
```
NaTmTh2
1.0
-1.742 -0.789 2.886
1.719 -0.706 2.922
-0.344 12.045 5.164
Na Tm Th
1 1 2
Direct
0.000 0.000 0.000 Na
0.500 0.500 0.500 Tm
0.908 0.908 0.276 Th
0.092 0.092 0.724 Th
```

Properties
Energy: -19.730 eV per cell
Formation energy from the elements: 0.225 eV/atom

11.
A relaxed NaTmTh crystal, computed with PBE.

The structure in POSCAR format:
```
NaTmTh
1.0
4.871 0.000 0.000
0.000 4.871 0.000
0.000 0.000 8.768
Tm Na Th
2 2 2
Direct
0.500 0.000 0.272 Tm
0.000 0.500 0.728 Tm
0.000 0.500 0.326 Na
0.500 0.000 0.674 Na
0.000 0.000 0.000 Th
0.500 0.500 0.000 Th
```

Properties
Energy: -23.572 eV per cell
Polymorph energy (0 for the lowest one): 0.303 eV/atom
Formation energy from the elements: 0.475 eV/atom

12.
A relaxed NaYTh2 crystal, computed with PBE.

The structure in POSCAR format:
```
NaYTh2
1.0
3.481 0.000 0.000
1.740 3.015 0.000
1.740 1.005 13.054
Y Th Na
1 2 1
Direct
0.500 0.500 0.500 Y
0.091 0.091 0.726 Th
0.909 0.909 0.274 Th
0.000 0.000 0.000 Na
```

Properties
Energy: -21.663 eV per cell
Formation energy from the elements: 0.240 eV/atom

13.
A relaxed NaThZn4 crystal, computed with PBE.

The structure in POSCAR format:
```
NaThZn4
1.0
5.506 0.000 0.000
2.753 4.768 0.000
2.753 1.589 4.496
Zn Na Th
4 1 1
Direct
0.626 0.626 0.626 Zn
0.626 0.123 0.626 Zn
0.626 0.626 0.123 Zn
0.123 0.626 0.626 Zn
0.250 0.250 0.250 Na
0.000 0.000 0.000 Th
```

Properties
Energy: -14.255 eV per cell
Formation energy from the elements: -0.070 eV/atom

14.
A relaxed NaThZn17 crystal, computed with PBE.

The structure in POSCAR format:
```
NaThZn17
1.0
-6.548 1.983 0.346
-1.821 -1.955 -6.308
-2.646 -6.080 1.719
Zn Th Na
17 1 1
Direct
0.703 0.294 0.003 Zn
0.902 0.902 0.902 Zn
0.350 0.842 0.350 Zn
0.003 0.703 0.294 Zn
0.995 0.995 0.503 Zn
0.503 0.995 0.995 Zn
0.995 0.503 0.995 Zn
0.003 0.294 0.703 Zn
0.842 0.350 0.350 Zn
0.294 0.703 0.003 Zn
0.350 0.350 0.842 Zn
0.294 0.003 0.703 Zn
0.647 0.647 0.163 Zn
0.163 0.647 0.647 Zn
0.103 0.103 0.103 Zn
0.647 0.163 0.647 Zn
0.703 0.003 0.294 Zn
0.663 0.663 0.663 Th
0.341 0.341 0.341 Na
```

Properties
Energy: -32.753 eV per cell
Formation energy from the elements: -0.124 eV/atom

15.
A relaxed NaTi crystal, computed with PBE.

The structure in POSCAR format:
```
NaTi
1.0
-2.547 7.273 -7.169
-3.243 -9.940 -1.205
-2.296 0.579 1.403
Ti Na
6 6
Direct
0.145 0.589 0.750 Ti
0.411 0.555 0.750 Ti
0.445 0.855 0.750 Ti
0.589 0.445 0.250 Ti
0.555 0.145 0.250 Ti
0.855 0.411 0.250 Ti
0.935 0.714 0.250 Na
0.220 0.935 0.750 Na
0.780 0.065 0.250 Na
0.714 0.780 0.750 Na
0.065 0.286 0.750 Na
0.286 0.220 0.250 Na
```

Properties
Energy: -47.255 eV per cell
Polymorph energy (0 for the lowest one): 0.116 eV/atom
Formation energy from the elements: 0.669 eV/atom

16.
A relaxed NaTi crystal, computed with PBE.

The structure in POSCAR format:
```
NaTi
1.0
-6.194 5.437 -5.099
4.976 -1.919 -8.091
-5.549 -7.789 -1.566
Ti Na
8 8
Direct
0.091 0.091 0.909 Ti
0.591 0.591 0.409 Ti
0.091 0.909 0.091 Ti
0.409 0.409 0.409 Ti
0.909 0.909 0.909 Ti
0.409 0.591 0.591 Ti
0.909 0.091 0.091 Ti
0.591 0.409 0.591 Ti
0.291 0.709 0.291 Na
0.209 0.209 0.209 Na
0.709 0.291 0.291 Na
0.791 0.209 0.791 Na
0.209 0.791 0.791 Na
0.791 0.791 0.209 Na
0.709 0.709 0.709 Na
0.291 0.291 0.709 Na
```

Properties
Energy: -54.559 eV per cell
Polymorph energy (0 for the lowest one): 0.644 eV/atom
Formation energy from the elements: 1.197 eV/atom

17.
A relaxed NaTi crystal, computed with PBE.

The structure in POSCAR format:
```
NaTi
1.0
-4.014 1.341 -4.023
-3.991 -3.065 2.961
-1.491 4.983 3.149
Na Ti
4 4
Direct
0.339 0.339 0.500 Na
0.661 0.661 0.500 Na
0.161 0.839 0.000 Na
0.839 0.161 0.000 Na
0.632 0.632 0.000 Ti
0.132 0.868 0.500 Ti
0.368 0.368 0.000 Ti
0.868 0.132 0.500 Ti
```

Properties
Energy: -26.905 eV per cell
Polymorph energy (0 for the lowest one): 0.690 eV/atom
Formation energy from the elements: 1.244 eV/atom

18.
A relaxed NaTi crystal, computed with PBE.

The structure in POSCAR format:
```
NaTi
1.0
-2.640 -3.024 -4.709
-4.424 -2.062 3.804
-5.176 7.533 -1.937
Na Ti
8 8
Direct
0.028 0.204 0.364 Na
0.796 0.972 0.136 Na
0.296 0.528 0.614 Na
0.528 0.296 0.386 Na
0.704 0.472 0.114 Na
0.972 0.796 0.864 Na
0.472 0.704 0.886 Na
0.204 0.028 0.636 Na
0.904 0.701 0.422 Ti
0.701 0.904 0.578 Ti
0.799 0.404 0.672 Ti
0.096 0.299 0.922 Ti
0.299 0.096 0.078 Ti
0.596 0.201 0.828 Ti
0.201 0.596 0.172 Ti
0.404 0.799 0.328 Ti
```

Properties
Energy: -61.822 eV per cell
Polymorph energy (0 for the lowest one): 0.190 eV/atom
Formation energy from the elements: 0.743 eV/atom

19.
A relaxed NaTi crystal, computed with PBE.

The structure in POSCAR format:
```
NaTi
1.0
12.081 0.000 0.000
0.000 12.081 0.000
0.000 0.000 2.829
Na Ti
8 8
Direct
0.331 0.878 0.500 Na
0.669 0.122 0.500 Na
0.169 0.622 0.000 Na
0.122 0.331 0.500 Na
0.878 0.669 0.500 Na
0.622 0.831 0.000 Na
0.831 0.378 0.000 Na
0.378 0.169 0.000 Na
0.635 0.564 0.000 Ti
0.865 0.936 0.500 Ti
0.564 0.365 0.000 Ti
0.135 0.064 0.500 Ti
0.365 0.436 0.000 Ti
0.936 0.135 0.500 Ti
0.064 0.865 0.500 Ti
0.436 0.635 0.000 Ti
```

Properties
Energy: -62.229 eV per cell
Polymorph energy (0 for the lowest one): 0.164 eV/atom
Formation energy from the elements: 0.718 eV/atom

20.
A relaxed Na3Ti crystal, computed with PBE.

The structure in POSCAR format:
```
Na3Ti
1.0
4.924 0.000 0.000
0.000 4.924 0.000
0.000 0.000 4.924
Na Ti
3 1
Direct
0.500 0.500 0.000 Na
0.500 0.000 0.500 Na
0.000 0.500 0.500 Na
0.000 0.000 0.000 Ti
```

Properties
Energy: -9.055 eV per cell
Polymorph energy (0 for the lowest one): 0.000 eV/atom
Formation energy from the elements: 0.699 eV/atom

21.
A relaxed NaTi crystal, computed with PBE.

The structure in POSCAR format:
```
NaTi
1.0
-5.559 -7.917 1.888
2.995 0.136 9.389
-3.622 2.809 1.115
Ti Na
8 8
Direct
0.403 0.335 0.000 Ti
0.468 0.694 0.500 Ti
0.335 0.597 0.000 Ti
0.532 0.306 0.500 Ti
0.306 0.468 0.500 Ti
0.665 0.403 0.000 Ti
0.597 0.665 0.000 Ti
0.694 0.532 0.500 Ti
0.932 0.640 0.000 Na
0.862 0.230 0.500 Na
0.640 0.068 0.000 Na
0.068 0.360 0.000 Na
0.770 0.862 0.500 Na
0.230 0.138 0.500 Na
0.360 0.932 0.000 Na
0.138 0.770 0.500 Na
```

Properties
Energy: -64.785 eV per cell
Polymorph energy (0 for the lowest one): 0.004 eV/atom
Formation energy from the elements: 0.558 eV/atom

22.
A relaxed NaTi4 crystal, computed with PBE.

The structure in POSCAR format:
```
NaTi4
1.0
4.658 0.000 0.000
0.000 4.658 0.000
0.000 0.000 4.658
Ti Na
4 1
Direct
0.000 0.500 0.500 Ti
0.500 0.500 0.000 Ti
0.000 0.000 0.000 Ti
0.500 0.000 0.500 Ti
0.500 0.500 0.500 Na
```

Properties
Energy: -24.862 eV per cell
Formation energy from the elements: 1.607 eV/atom

23.
A relaxed NaTi crystal, computed with PBE.

The structure in POSCAR format:
```
NaTi
1.0
-0.859 0.972 2.545
-1.893 -0.343 -2.112
-2.024 -11.378 3.664
Ti Na
2 2
Direct
0.667 0.333 0.168 Ti
0.333 0.667 0.668 Ti
0.667 0.333 0.914 Na
0.333 0.667 0.414 Na
```

Properties
Energy: -15.851 eV per cell
Polymorph energy (0 for the lowest one): 0.091 eV/atom
Formation energy from the elements: 0.644 eV/atom

24.
A relaxed NaTi crystal, computed with PBE.

The structure in POSCAR format:
```
NaTi
1.0
-4.023 1.433 -0.524
-0.256 -3.408 -7.354
-3.040 -7.266 3.473
Na Ti
6 6
Direct
0.500 0.160 0.167 Na
0.500 0.160 0.500 Na
0.000 0.840 0.333 Na
0.000 0.840 0.667 Na
0.000 0.840 0.000 Na
0.500 0.160 0.833 Na
0.500 0.548 0.667 Ti
0.500 0.548 0.333 Ti
0.000 0.452 0.500 Ti
0.000 0.452 0.167 Ti
0.000 0.452 0.833 Ti
0.500 0.548 0.000 Ti
```

Properties
Energy: -48.642 eV per cell
Polymorph energy (0 for the lowest one): 0.000 eV/atom
Formation energy from the elements: 0.553 eV/atom